# 1
# Tb4HoIr2 | Alexandria | GGA-PBE | relaxed
data_Tb4HoIr2
_symmetry_space_group_name_H-M 'P 1'
_symmetry_Int_Tables_number 1
_symmetry_space_group_name_Hall 'P 1'
_cell_length_a 7.854
_cell_length_b 6.357
_cell_length_c 7.916
_cell_angle_alpha 90.00
_cell_angle_beta 112.70
_cell_angle_gamma 90.00
loop_
_atom_site_label
_atom_site_type_symbol
_atom_site_fract_x
_atom_site_fract_y
_atom_site_fract_z
Tb1 Tb 0.016 0.250 0.379
Tb2 Tb 0.247 0.750 0.334
Tb3 Tb 0.415 0.003 0.763
Tb4 Tb 0.415 0.497 0.763
Tb5 Tb 0.585 0.503 0.237
Tb6 Tb 0.585 0.997 0.237
Tb7 Tb 0.753 0.250 0.666
Tb8 Tb 0.984 0.750 0.621
Ho1 Ho 0.156 0.250 0.030
Ho2 Ho 0.844 0.750 0.970
Ir1 Ir 0.254 0.750 0.987
Ir2 Ir 0.373 0.250 0.409
Ir3 Ir 0.627 0.750 0.591
Ir4 Ir 0.746 0.250 0.013
# Density = 10.79 g/cm³
# ΔE_f = -516 meV/atom
# DFT total energy = -6.348 eV/atom



# 2
# TbHo8Ir6 | Alexandria | GGA-PBE | relaxed
data_TbHo8Ir6
_symmetry_space_group_name_H-M 'P 1'
_symmetry_Int_Tables_number 1
_symmetry_space_group_name_Hall 'P 1'
_cell_length_a 7.640
_cell_length_b 7.640
_cell_length_c 7.640
_cell_angle_alpha 65.39
_cell_angle_beta 65.39
_cell_angle_gamma 65.39
loop_
_atom_site_label
_atom_site_type_symbol
_atom_site_fract_x
_atom_site_fract_y
_atom_site_fract_z
Tb1 Tb 0.000 0.000 0.000
Ho1 Ho 0.111 0.778 0.448
Ho2 Ho 0.222 0.552 0.889
Ho3 Ho 0.334 0.334 0.334
Ho4 Ho 0.448 0.111 0.778
Ho5 Ho 0.552 0.889 0.222
Ho6 Ho 0.666 0.666 0.666
Ho7 Ho 0.778 0.448 0.111
Ho8 Ho 0.889 0.222 0.552
Ir1 Ir 0.057 0.391 0.723
Ir2 Ir 0.277 0.943 0.609
Ir3 Ir 0.391 0.723 0.057
Ir4 Ir 0.609 0.277 0.943
Ir5 Ir 0.723 0.057 0.391
Ir6 Ir 0.943 0.609 0.277
# Density = 12.40 g/cm³
# ΔE_f = -807 meV/atom
# DFT total energy = -7.102 eV/atom



# 3
# Tb3HoIr | Alexandria | GGA-PBE | relaxed
data_Tb3HoIr
_symmetry_space_group_name_H-M 'P 1'
_symmetry_Int_Tables_number 1
_symmetry_space_group_name_Hall 'P 1'
_cell_length_a 5.448
_cell_length_b 5.448
_cell_length_c 5.448
_cell_angle_alpha 90.00
_cell_angle_beta 90.00
_cell_angle_gamma 90.00
loop_
_atom_site_label
_atom_site_type_symbol
_atom_site_fract_x
_atom_site_fract_y
_atom_site_fract_z
Tb1 Tb 0.000 0.000 0.500
Tb2 Tb 0.000 0.500 0.000
Tb3 Tb 0.500 0.000 0.000
Ho1 Ho 0.500 0.500 0.500
Ir1 Ir 0.000 0.000 0.000
# Density = 8.56 g/cm³
# Energy above the lowest structure with this stoichiometry = 0.51 eV per formula unit
# ΔE_f = -222 meV/atom
# DFT total energy = -5.688 eV/atom



# 4
# Tb3Ho2Ir2 | Alexandria | GGA-PBE | relaxed
data_Tb3Ho2Ir2
_symmetry_space_group_name_H-M 'P 1'
_symmetry_Int_Tables_number 1
_symmetry_space_group_name_Hall 'P 1'
_cell_length_a 6.318
_cell_length_b 6.318
_cell_length_c 8.814
_cell_angle_alpha 114.46
_cell_angle_beta 114.46
_cell_angle_gamma 35.56
loop_
_atom_site_label
_atom_site_type_symbol
_atom_site_fract_x
_atom_site_fract_y
_atom_site_fract_z
Tb1 Tb 0.000 0.000 0.000
Tb2 Tb 0.118 0.118 0.430
Tb3 Tb 0.882 0.882 0.570
Ho1 Ho 0.332 0.332 0.191
Ho2 Ho 0.668 0.668 0.809
Ir1 Ir 0.321 0.321 0.764
Ir2 Ir 0.679 0.679 0.236
# Density = 10.73 g/cm³
# ΔE_f = -623 meV/atom
# DFT total energy = -6.447 eV/atom



# 5
# Tb3HoIr4 | Alexandria | GGA-PBE | relaxed
data_Tb3HoIr4
_symmetry_space_group_name_H-M 'P 1'
_symmetry_Int_Tables_number 1
_symmetry_space_group_name_Hall 'P 1'
_cell_length_a 3.590
_cell_length_b 4.748
_cell_length_c 9.495
_cell_angle_alpha 90.00
_cell_angle_beta 90.00
_cell_angle_gamma 90.00
loop_
_atom_site_label
_atom_site_type_symbol
_atom_site_fract_x
_atom_site_fract_y
_atom_site_fract_z
Tb1 Tb 0.000 0.000 0.000
Tb2 Tb 0.000 0.500 0.251
Tb3 Tb 0.000 0.500 0.749
Ho1 Ho 0.000 0.000 0.500
Ir1 Ir 0.500 0.000 0.252
Ir2 Ir 0.500 0.000 0.748
Ir3 Ir 0.500 0.500 0.000
Ir4 Ir 0.500 0.500 0.500
# Density = 14.47 g/cm³
# ΔE_f = -800 meV/atom
# DFT total energy = -7.539 eV/atom



# 6
# TbHo4Ir4 | Alexandria | GGA-PBE | relaxed
data_TbHo4Ir4
_symmetry_space_group_name_H-M 'P 1'
_symmetry_Int_Tables_number 1
_symmetry_space_group_name_Hall 'P 1'
_cell_length_a 8.845
_cell_length_b 8.845
_cell_length_c 5.638
_cell_angle_alpha 90.00
_cell_angle_beta 90.00
_cell_angle_gamma 90.00
loop_
_atom_site_label
_atom_site_type_symbol
_atom_site_fract_x
_atom_site_fract_y
_atom_site_fract_z
Tb1 Tb 0.250 0.250 0.250
Tb2 Tb 0.750 0.750 0.750
Ho1 Ho 0.078 0.661 0.139
Ho2 Ho 0.161 0.922 0.639
Ho3 Ho 0.339 0.578 0.639
Ho4 Ho 0.422 0.839 0.139
Ho5 Ho 0.578 0.161 0.861
Ho6 Ho 0.661 0.422 0.361
Ho7 Ho 0.839 0.078 0.361
Ho8 Ho 0.922 0.339 0.861
Ir1 Ir 0.028 0.619 0.640
Ir2 Ir 0.119 0.972 0.140
Ir3 Ir 0.381 0.528 0.140
Ir4 Ir 0.472 0.881 0.640
Ir5 Ir 0.528 0.119 0.360
Ir6 Ir 0.619 0.472 0.860
Ir7 Ir 0.881 0.028 0.860
Ir8 Ir 0.972 0.381 0.360
# Density = 11.95 g/cm³
# ΔE_f = -659 meV/atom
# DFT total energy = -7.146 eV/atom



Q: Look up the DFT total energy of the fifth one.
A: -7.539 eV/atom



Q: What is the ΔE_f in the fifth record?
A: -800 meV/atom



Q: Which formula does entry 1 have?
A: Tb4HoIr2